Record 1
# LaCrSe2Br

A relaxed structure of LaCrSe2Br (GGA-PBE, Alexandria).

Structure (POSCAR):
```
LaCrSe2Br
1.0
-1.7333 -3.5893 4.1070
5.4408 -0.8341 1.5672
-0.3765 4.2899 3.5902
Cr Se Br La
1 2 1 1
direct
0.5000 0.5000 0.5000
0.0000 0.5000 0.0000
0.5000 0.0000 0.0000
0.0000 0.0000 0.5000
0.0000 0.0000 0.0000
```

As for the raw formation energy: -32 kJ/mol of atoms. As for the density of states at the Fermi level: 1.420 states/eV per atom. Its raw total energy is -4.97 eV per atom. The energy relative to the lowest polymorph listed for this composition is 635 meV/atom.


Record 2
# CeGa2Au

A relaxed structure of CeGa2Au (GGA-PBE, Alexandria).

Structure (POSCAR):
```
CeGa2Au
1.0
-1.3248 0.7918 2.9731
-3.0349 0.1955 -1.4044
-1.0867 -6.9847 1.3759
Au Ga Ce
1 2 1
direct
0.5000 0.5000 0.0000
0.0000 0.0000 0.7883
0.0000 0.0000 0.2117
0.5000 0.5000 0.5000
```

For the calculated formation energy, the calculation gives -0.359 eV per atom. As for the density of states at the Fermi level: 1.322 states/eV per atom. Its raw total energy is -4.18 eV per atom.


Record 3
# TbTmPt

A relaxed structure of TbTmPt (GGA-PBE, Alexandria).

Structure (POSCAR):
```
TbTmPt
1.0
3.5238 0.0000 -0.7491
0.0000 5.1233 0.0000
-0.1099 0.0000 8.1456
Tb Tm Pt
2 2 2
direct
0.9264 0.2500 0.8529
0.0736 0.7500 0.1471
0.2177 0.2500 0.4354
0.7823 0.7500 0.5646
0.5777 0.2500 0.1554
0.4223 0.7500 0.8446
```

For the calculated formation energy, the calculation gives -0.827 eV per atom. As for the density of states at the Fermi level: 0.747 states/eV per atom. Its raw total energy is -5.87 eV per atom. The energy relative to the lowest polymorph listed for this composition is 77 meV/atom.


Record 4
# GaB3Pt

A relaxed structure of GaB3Pt (GGA-PBE, Alexandria).

Structure (POSCAR):
```
GaB3Pt
1.0
4.0012 0.0000 0.0000
0.0000 4.0012 0.0000
0.0000 0.0000 4.0012
B Ga Pt
3 1 1
direct
0.0000 0.5000 0.0000
0.0000 0.0000 0.5000
0.5000 0.0000 0.0000
0.0000 0.0000 0.0000
0.5000 0.5000 0.5000
```

For the calculated formation energy, the calculation gives 1.931 eV per atom. As for the density of states at the Fermi level: 0.310 states/eV per atom. Its raw total energy is -3.89 eV per atom. The energy relative to the lowest polymorph listed for this composition is 824 meV/atom.


Q: raw total energy of number 3 (TbTmPt)?
A: -5.87 eV per atom


Q: Which value of raw total energy does entry 4 give?
A: -3.89 eV per atom


Q: What is the formula in the third record?
A: TbTmPt


Q: Which formula does entry 3 have?
A: TbTmPt